Entry from the Alexandria database: Tl2Ge2I after structural relaxation (PBE).

a = 10.8736 Å, b = 10.8736 Å, c = 10.8736 Å
α = 159.67°, β = 159.67°, γ = 28.91°
Last column: nearest neighbours and their distance in Å.
Positions (direct):
Tl (0.1074, 0.1074, 0.0000)  4 I 3.53, 4 Ge 3.56, 4 Tl 3.84
Tl (0.8926, 0.8926, 0.0000)  4 I 3.53, 4 Ge 3.56, 4 Tl 3.84
Ge (0.2500, 0.7500, 0.5000)  4 Ge 2.71
Ge (0.7500, 0.2500, 0.5000)  4 Ge 2.71
I (0.5000, 0.5000, 0.0000)  8 Tl 3.53, 4 I 3.84

Calculated values
The calculation puts the raw formation energy at 0.1 eV/f.u. The volume is 31.032 A^3/atom. Its space group is No. 139. The calculation puts the density at 7.29 g/cm³. The total DFT energy (no corrections) comes out at -3.08 eV per atom.

Entry from the Alexandria database: KTaB2S after structural relaxation (PBE).

a = 4.0972 Å, b = 4.0972 Å, c = 5.0606 Å
α = 90.00°, β = 90.00°, γ = 90.00°
Last column: nearest neighbours and their distance in Å.
Positions (direct):
K (0.0000, 0.0000, 0.0000)  4 B 2.05
Ta (0.5000, 0.5000, 0.5000)  4 S 2.90
B (0.0000, 0.5000, 0.0000)  2 K 2.05
B (0.5000, 0.0000, 0.0000)  2 K 2.05
S (0.0000, 0.0000, 0.5000)  2 K 2.53

Calculated values
The calculation puts the raw formation energy at 14.2 eV/f.u. The volume is 16.991 A^3/atom. Its space group is No. 123. The calculation puts the density at 5.35 g/cm³. The total DFT energy (no corrections) comes out at -3.25 eV per atom.